Entry from Alexandria: a relaxed structure of AcTb2Zn (PBE).

Computed properties:
As for the distance to the lowest polymorph of the same formula: 1.22 eV/f.u. As for the total energy: -3.4816 eV/atom.

a = 7.8282 Å, b = 7.8282 Å, c = 7.8282 Å
α = 90.00°, β = 90.00°, γ = 90.00°
Element x y z (fractional)
Ac 0.0000 0.0000 0.0000
Ac 0.0000 0.5000 0.5000
Ac 0.5000 0.0000 0.5000
Ac 0.5000 0.5000 0.0000
Tb 0.2500 0.2500 0.2500
Tb 0.2500 0.2500 0.7500
Tb 0.2500 0.7500 0.2500
Tb 0.2500 0.7500 0.7500
Tb 0.7500 0.2500 0.2500
Tb 0.7500 0.2500 0.7500
Tb 0.7500 0.7500 0.2500
Tb 0.7500 0.7500 0.7500
Zn 0.0000 0.0000 0.5000
Zn 0.0000 0.5000 0.0000
Zn 0.5000 0.0000 0.0000
Zn 0.5000 0.5000 0.5000